# 1
Computed, not measured: a relaxed structure of Dy3Ag2Hg3 at the PBE-GGA level of DFT.

a b c (Å): 3.847 7.650 7.650
angles (deg): 120.00 90.00 90.00
Positions (direct):
Dy 0.500 0.000 0.602
Dy 0.500 0.602 0.000
Dy 0.500 0.398 0.398
Ag 0.000 0.667 0.333
Ag 0.000 0.333 0.667
Hg 0.000 0.000 0.239
Hg 0.000 0.239 0.000
Hg 0.000 0.761 0.761

Formation enthalpy at 0 K   -0.346 eV per atom
Magnetic moment   0.000 μB/cell

# 2
Computed, not measured: a relaxed structure of YHo2Sc8 at the PBE-GGA level of DFT.

a b c (Å): 5.487 8.705 9.135
angles (deg): 61.54 72.54 50.99
Positions (direct):
Ho 0.000 0.690 0.619
Ho 0.000 0.310 0.381
Y 0.500 0.000 0.000
Sc 0.226 0.645 0.257
Sc 0.500 0.203 0.595
Sc 0.500 0.797 0.405
Sc 0.243 0.499 0.000
Sc 0.774 0.355 0.743
Sc 0.226 0.903 0.743
Sc 0.757 0.501 0.000
Sc 0.774 0.097 0.257

Formation enthalpy at 0 K   0.130 eV per atom
Magnetic moment   0.004 μB/cell

# 3
Computed, not measured: a relaxed structure of Nd4SbIr2 at the PBE-GGA level of DFT.

a b c (Å): 8.296 8.296 8.296
angles (deg): 110.62 110.43 107.39
Positions (direct):
Nd 0.411 0.097 0.314
Nd 0.468 0.653 0.815
Nd 0.782 0.097 0.686
Nd 0.904 0.218 0.314
Nd 0.903 0.589 0.686
Nd 0.839 0.653 0.185
Nd 0.346 0.161 0.814
Nd 0.347 0.532 0.186
Sb 0.002 0.002 0.000
Sb 0.248 0.748 0.500
Ir 0.625 0.875 0.250
Ir 0.625 0.375 0.250
Ir 0.625 0.375 0.750
Ir 0.125 0.375 0.750

Magnetic moment   0.000 μB/cell
Energy   -6.45 eV per atom

# 4
Computed, not measured: a relaxed structure of KCa2VMo at the PBE-GGA level of DFT.

a b c (Å): 5.641 4.811 5.641
angles (deg): 90.00 90.00 90.00
Positions (direct):
V 0.000 0.500 0.000
K 0.000 0.000 0.000
Ca 0.500 0.000 0.000
Ca 0.000 0.000 0.500
Mo 0.500 0.500 0.500

Formation enthalpy at 0 K   2.102 eV per atom
Magnetic moment   7.488 μB/cell

# 5
Computed, not measured: a relaxed structure of Ag5Hg2Pd4 at the PBE-GGA level of DFT.

a b c (Å): 2.899 7.743 11.077
angles (deg): 59.31 97.52 90.00
Positions (direct):
Ag 0.500 0.000 0.000
Ag 0.251 0.335 0.503
Ag 0.749 0.665 0.497
Ag 0.876 0.065 0.753
Ag 0.124 0.935 0.247
Pd 0.374 0.388 0.748
Pd 0.004 0.677 0.007
Pd 0.626 0.612 0.252
Pd 0.996 0.323 0.993
Hg 0.130 0.286 0.260
Hg 0.870 0.714 0.740

Formation enthalpy at 0 K   0.047 eV per atom
Magnetic moment   0.000 μB/cell

# 6
Computed, not measured: a relaxed structure of CdCuRe2Au at the PBE-GGA level of DFT.

a b c (Å): 4.983 4.585 4.983
angles (deg): 90.00 90.00 90.00
Positions (direct):
Re 0.000 0.000 0.500
Re 0.500 0.000 0.000
Au 0.500 0.500 0.500
Cd 0.000 0.000 0.000
Cu 0.000 0.500 0.000

Formation enthalpy at 0 K   2.507 eV per atom
Magnetic moment   5.659 μB/cell

# 7
Computed, not measured: a relaxed structure of InRhI at the PBE-GGA level of DFT.

a b c (Å): 6.767 9.993 6.845
angles (deg): 136.89 90.00 90.00
Positions (direct):
Rh 0.296 0.949 0.000
Rh 0.796 0.551 0.000
Rh 0.704 0.051 0.000
Rh 0.204 0.449 0.000
In 0.888 0.284 0.000
In 0.112 0.716 0.000
In 0.612 0.784 0.000
In 0.388 0.216 0.000
I 0.000 0.197 0.395
I 0.500 0.697 0.395
I 0.000 0.803 0.605
I 0.500 0.303 0.605

Magnetic moment   0.000 μB/cell
Energy   -3.87 eV per atom

# 8
Computed, not measured: a relaxed structure of CaAlTlSn2 at the PBE-GGA level of DFT.

a b c (Å): 5.713 5.381 5.713
angles (deg): 90.00 90.00 90.00
Positions (direct):
Al 0.000 0.500 0.000
Ca 0.500 0.500 0.500
Tl 0.000 0.000 0.000
Sn 0.500 0.000 0.000
Sn 0.000 0.000 0.500

Formation enthalpy at 0 K   0.445 eV per atom
Magnetic moment   0.000 μB/cell